*w*
Computed, not measured: KCoOs2 after structural relaxation at the PBE level of DFT.

total magnetic moment	1.838	μB per cell
space-group type	C2/m
DOS at the Fermi energy	5.3	states/eV per cell

a b c (Å): 5.8299 5.8299 2.6075
angles (deg): 78.19 78.19 124.35
Closest atoms and distances in Å follow each position.
Sites, in units of the cell vectors:
1 Co 0.5000 0.0000 0.5000  2 Co 2.61, 4 K 2.72-2.82
2 K 0.0000 0.5000 0.5000  2 K 2.61, 4 Co 2.72-2.82
3 Os 0.5000 0.5000 0.0000  6 Os 2.61-2.82
4 Os 0.0000 0.0000 0.0000  6 Os 2.61-2.82

*x*
Computed, not measured: KCoOs2 after structural relaxation at the PBE level of DFT.

total magnetic moment	1.979	μB per cell
space-group type	P4/mmm
DOS at the Fermi energy	8.9	states/eV per cell

a b c (Å): 4.8631 3.7203 3.7203
angles (deg): 90.00 90.00 90.00
Closest atoms and distances in Å follow each position.
Sites, in units of the cell vectors:
1 K 0.5000 0.0000 0.5000  4 Co 2.63
2 Os 0.0000 0.0000 0.0000  4 Os 2.63
3 Co 0.5000 0.5000 0.0000  4 K 2.63
4 Os 0.0000 0.5000 0.5000  4 Os 2.63

*y*
Computed, not measured: KCoOs2 after structural relaxation at the PBE level of DFT.

total magnetic moment	2.003	μB per cell
space-group type	Cmmm
DOS at the Fermi energy	6.4	states/eV per cell

a b c (Å): 5.6044 5.6044 2.5124
angles (deg): 90.00 90.00 121.93
Closest atoms and distances in Å follow each position.
Sites, in units of the cell vectors:
1 Co 0.5000 0.0000 0.5000  2 Co 2.51, 2 K 2.72
2 K 0.0000 0.5000 0.5000  2 K 2.51, 2 Co 2.72
3 Os 0.0000 0.0000 0.0000  4 Os 2.51-2.72
4 Os 0.5000 0.5000 0.0000  4 Os 2.51-2.72

In kJ/mol of atoms, relative to the most stable structure: *w* 0.0; *x* 33.2; *y* 9.2.

*w*
Computed, not measured: KCoOs2 after structural relaxation at the PBE level of DFT.

total magnetic moment	0.824	μB per cell
space-group type	Immm
DOS at the Fermi energy	5.0	states/eV per cell

a b c (Å): 5.8658 5.8658 5.8658
angles (deg): 153.99 132.88 54.61
Closest atoms and distances in Å follow each position.
Sites, in units of the cell vectors:
1 Os 0.5374 0.5374 0.0000  2 Co 2.58, 6 Os 2.64-2.80
2 Co 0.7500 0.2500 0.5000  4 Os 2.58, 2 Co 2.64, 4 K 2.69
3 Os 0.9626 0.9626 0.0000  2 Co 2.58, 6 Os 2.64-2.80
4 K 0.2500 0.7500 0.5000  2 K 2.64, 4 Co 2.69

*x*
Computed, not measured: KCoOs2 after structural relaxation at the PBE level of DFT.

total magnetic moment	1.935	μB per cell
space-group type	F-43m
DOS at the Fermi energy	2.8	states/eV per cell

a b c (Å): 4.4766 4.4766 4.4766
angles (deg): 120.00 120.00 90.00
Closest atoms and distances in Å follow each position.
Sites, in units of the cell vectors:
1 Os 0.2500 0.7500 0.5000  4 Co 2.74, 4 Os 2.74
2 Co 0.5000 0.5000 0.0000  4 K 2.74, 4 Os 2.74
3 Os 0.0000 0.0000 0.0000  4 K 2.74, 4 Os 2.74
4 K 0.7500 0.2500 0.5000  4 Os 2.74, 4 Co 2.74

In kJ/mol of atoms, relative to the most stable structure: *w* 0.0; *x* 50.3.

*w*
Computed, not measured: KCoOs2 after structural relaxation at the PBE level of DFT.

total magnetic moment	1.134	μB per cell
space-group type	P4/mmm
DOS at the Fermi energy	4.5	states/eV per cell

a b c (Å): 2.6567 2.6567 9.3350
angles (deg): 90.00 90.00 90.00
Closest atoms and distances in Å follow each position.
Sites, in units of the cell vectors:
1 Os 0.0000 0.0000 0.0599  4 Co 2.58, 4 Os 2.66
2 K 0.5000 0.5000 0.7500  4 K 2.66
3 Os 0.0000 0.0000 0.4401  4 Co 2.58, 4 Os 2.66
4 Co 0.5000 0.5000 0.2500  8 Os 2.58, 4 Co 2.66

*x*
Computed, not measured: KCoOs2 after structural relaxation at the PBE level of DFT.

total magnetic moment	1.978	μB per cell
space-group type	Pmmm
DOS at the Fermi energy	4.5	states/eV per cell

a b c (Å): 2.6686 4.7566 5.2014
angles (deg): 90.00 90.00 90.00
Closest atoms and distances in Å follow each position.
Sites, in units of the cell vectors:
1 Os 0.0000 0.0000 0.0000  6 Os 2.67-2.73, 4 Co 2.92
2 K 0.0000 0.5000 0.5000  2 K 2.67, 4 Co 2.73, 4 Os 2.92
3 Os 0.5000 0.5000 0.0000  6 Os 2.67-2.73, 4 K 2.92
4 Co 0.5000 0.0000 0.5000  2 Co 2.67, 4 K 2.73, 4 Os 2.92

In kJ/mol of atoms, relative to the most stable structure: *w* 0.0; *x* 49.6.

*w*
Computed, not measured: KCoOs2 after structural relaxation at the PBE level of DFT.

total magnetic moment	3.072	μB per cell
space-group type	P4/mmm
DOS at the Fermi energy	5.2	states/eV per cell

a b c (Å): 5.1850 5.1850 2.5346
angles (deg): 90.00 90.00 90.00
Closest atoms and distances in Å follow each position.
Sites, in units of the cell vectors:
1 K 0.0000 0.5000 0.5000  2 K 2.53
2 Os 0.0000 0.0000 0.0000  2 Os 2.53
3 Co 0.5000 0.0000 0.5000  2 Co 2.53
4 Os 0.5000 0.5000 0.0000  2 Os 2.53

*x*
Computed, not measured: KCoOs2 after structural relaxation at the PBE level of DFT.

total magnetic moment	0.000	μB per cell
space-group type	Fm-3m
DOS at the Fermi energy	12.4	states/eV per cell

a b c (Å): 4.4303 4.4303 4.4303
angles (deg): 60.00 60.00 60.00
Closest atoms and distances in Å follow each position.
Sites, in units of the cell vectors:
1 K 0.0000 0.0000 0.0000  8 Os 2.71
2 Os 0.7500 0.7500 0.7500  4 Co 2.71, 4 K 2.71
3 Co 0.5000 0.5000 0.5000  8 Os 2.71
4 Os 0.2500 0.2500 0.2500  4 Co 2.71, 4 K 2.71

*y*
Computed, not measured: KCoOs2 after structural relaxation at the PBE level of DFT.

total magnetic moment	1.592	μB per cell
space-group type	Pmmm
DOS at the Fermi energy	4.3	states/eV per cell

a b c (Å): 2.5960 3.6293 8.0379
angles (deg): 90.00 90.00 90.00
Closest atoms and distances in Å follow each position.
Sites, in units of the cell vectors:
1 Os 0.0000 0.0000 0.0936  3 Os 2.51-2.60, 4 Co 2.56
2 Co 0.5000 0.5000 0.2500  8 Os 2.56, 2 Co 2.60
3 Os 0.0000 0.0000 0.4064  3 Os 2.51-2.60, 4 Co 2.56
4 K 0.5000 0.5000 0.7500  2 K 2.60

In kJ/mol of atoms, relative to the most stable structure: *w* 83.0; *x* 100.0; *y* 0.0.

*w*
Computed, not measured: KCo3Os after structural relaxation at the PBE level of DFT.

total magnetic moment	6.612	μB per cell
space-group type	Pm-3m
DOS at the Fermi energy	5.1	states/eV per cell

a b c (Å): 4.2947 4.2947 4.2947
angles (deg): 90.00 90.00 90.00
Closest atoms and distances in Å follow each position.
Sites, in units of the cell vectors:
1 Os 0.5000 0.5000 0.5000  12 Co 3.04
2 Co 0.0000 0.0000 0.5000  2 K 2.15
3 Co 0.5000 0.0000 0.0000  2 K 2.15
4 Co 0.0000 0.5000 0.0000  2 K 2.15
5 K 0.0000 0.0000 0.0000  6 Co 2.15

*x*
Computed, not measured: KCo3Os after structural relaxation at the PBE level of DFT.

total magnetic moment	3.539	μB per cell
space-group type	Pm-3m
DOS at the Fermi energy	4.3	states/eV per cell

a b c (Å): 4.6230 4.6230 4.6230
angles (deg): 90.00 90.00 90.00
Closest atoms and distances in Å follow each position.
Sites, in units of the cell vectors:
1 Co 0.0000 0.5000 0.0000  2 Os 2.31
2 Co 0.5000 0.0000 0.0000  2 Os 2.31
3 K 0.5000 0.5000 0.5000  12 Co 3.27
4 Co 0.0000 0.0000 0.5000  2 Os 2.31
5 Os 0.0000 0.0000 0.0000  6 Co 2.31

In kJ/mol of atoms, relative to the most stable structure: *w* 140.5; *x* 0.0.

*w*
Computed, not measured: KCo3Pb after structural relaxation at the PBE level of DFT.

total magnetic moment	5.685	μB per cell
space-group type	Pm-3m
DOS at the Fermi energy	5.0	states/eV per cell

a b c (Å): 5.0623 5.0623 5.0623
angles (deg): 90.00 90.00 90.00
Closest atoms and distances in Å follow each position.
Sites, in units of the cell vectors:
1 Co 0.5000 0.0000 0.0000  2 Pb 2.53
2 Pb 0.0000 0.0000 0.0000  6 Co 2.53
3 Co 0.0000 0.0000 0.5000  2 Pb 2.53
4 K 0.5000 0.5000 0.5000  12 Co 3.58
5 Co 0.0000 0.5000 0.0000  2 Pb 2.53

*x*
Computed, not measured: KCo3Pb after structural relaxation at the PBE level of DFT.

total magnetic moment	4.117	μB per cell
space-group type	Pm-3m
DOS at the Fermi energy	16.3	states/eV per cell

a b c (Å): 4.6412 4.6412 4.6412
angles (deg): 90.00 90.00 90.00
Closest atoms and distances in Å follow each position.
Sites, in units of the cell vectors:
1 Co 0.0000 0.0000 0.5000  2 K 2.32
2 Pb 0.5000 0.5000 0.5000  12 Co 3.28
3 Co 0.5000 0.0000 0.0000  2 K 2.32
4 Co 0.0000 0.5000 0.0000  2 K 2.32
5 K 0.0000 0.0000 0.0000  6 Co 2.32

In kJ/mol of atoms, relative to the most stable structure: *w* 0.0; *x* 81.6.

*w*
Computed, not measured: KCoPb after structural relaxation at the PBE level of DFT.

total magnetic moment	0.367	μB per cell
space-group type	P-6m2
DOS at the Fermi energy	4.8	states/eV per cell

a b c (Å): 4.3981 4.3981 5.5365
angles (deg): 90.00 90.00 120.00
Closest atoms and distances in Å follow each position.
Sites, in units of the cell vectors:
1 Co 0.0000 0.0000 0.8332  3 Pb 2.54
2 Pb 0.3333 0.6667 0.8336  3 Co 2.54
3 K 0.6667 0.3333 0.3333  6 Pb 3.76, 6 Co 3.76

*x*
Computed, not measured: KCoPb after structural relaxation at the PBE level of DFT.

total magnetic moment	1.462	μB per cell
space-group type	I4mm
DOS at the Fermi energy	3.2	states/eV per cell

a b c (Å): 6.7859 6.7859 3.6151
angles (deg): 74.55 74.55 30.90
Closest atoms and distances in Å follow each position.
Sites, in units of the cell vectors:
1 Co 0.0498 0.0498 0.9502  4 Pb 2.68
2 K 0.3354 0.3354 0.6646  5 Pb 3.51-3.77, 5 Co 3.59-3.71, 4 K 3.62
3 Pb 0.6148 0.6148 0.3852  4 Co 2.68

In kJ/mol of atoms, relative to the most stable structure: *w* 6.0; *x* 0.0.

*w*
Computed, not measured: KCoPb after structural relaxation at the PBE level of DFT.

total magnetic moment	1.031	μB per cell
space-group type	F-43m
DOS at the Fermi energy	4.5	states/eV per cell

a b c (Å): 4.8703 4.8703 4.8703
angles (deg): 60.00 60.00 60.00
Closest atoms and distances in Å follow each position.
Sites, in units of the cell vectors:
1 Co 0.7500 0.7500 0.7500  4 K 2.98, 4 Pb 2.98
2 Pb 0.5000 0.5000 0.5000  4 Co 2.98
3 K 0.0000 0.0000 0.0000  4 Co 2.98

*x*
Computed, not measured: KCoPb after structural relaxation at the PBE level of DFT.

total magnetic moment	1.203	μB per cell
space-group type	F-43m
DOS at the Fermi energy	10.9	states/eV per cell

a b c (Å): 5.2301 5.2301 5.2301
angles (deg): 60.00 60.00 60.00
Closest atoms and distances in Å follow each position.
Sites, in units of the cell vectors:
1 K 0.7500 0.7500 0.7500  4 Co 3.20, 4 Pb 3.20
2 Co 0.5000 0.5000 0.5000  4 K 3.20
3 Pb 0.0000 0.0000 0.0000  4 K 3.20

In kJ/mol of atoms, relative to the most stable structure: *w* 0.0; *x* 61.7.